(1)
VASP calculation (PBE-GGA) on a geometry-optimized Pd2SCl3 structure.

Unit cell a=6.0600 b=7.3074 c=7.3074 alpha=120.00 beta=90.00 gamma=90.00
With the nearest neighbours (Å) after each atom.
Positions (direct):
1 Cl 0.2373 0.8366 0.6733  3 Pd 2.52-2.57
2 Cl 0.7627 0.6733 0.8366  3 Pd 2.52-2.57
3 Cl 0.2373 0.8366 0.1634  3 Pd 2.52-2.57
4 Cl 0.2373 0.3267 0.1634  3 Pd 2.52-2.57
5 Cl 0.7627 0.1634 0.8366  3 Pd 2.52-2.57
6 Cl 0.7627 0.1634 0.3267  3 Pd 2.52-2.57
7 S 0.8204 0.6667 0.3333  3 Pd 2.37
8 S 0.1796 0.3333 0.6667  3 Pd 2.37
9 Pd 0.0000 0.0000 0.0000  6 Cl 2.52
10 Pd 0.0000 0.5000 0.5000  2 S 2.37, 4 Cl 2.57
11 Pd 0.0000 0.0000 0.5000  2 S 2.37, 4 Cl 2.57
12 Pd 0.0000 0.5000 0.0000  2 S 2.37, 4 Cl 2.57

Spin magnetization = 2.03 μB per formula unit
Final energy = -42.926 eV/cell
Energy above the lowest structure with this stoichiometry = 16.2 meV/atom
Formation energy from raw total energies = -0.24 eV/atom
SG = No. 164


(2)
VASP calculation (PBE-GGA) on a geometry-optimized TeAsN structure.

Unit cell a=3.8838 b=12.1523 c=13.0289 alpha=150.39 beta=53.39 gamma=147.81
With the nearest neighbours (Å) after each atom.
Positions (direct):
1 As 0.6639 0.8600 0.8585  1 N 1.86
2 As 0.3361 0.1400 0.1415  1 N 1.86
3 N 0.7141 0.3451 0.6496  1 As 1.86
4 N 0.2859 0.6549 0.3504  1 As 1.86
5 Te 0.8999 0.1635 0.7377  2 N 2.11-2.13
6 Te 0.1001 0.8365 0.2623  2 N 2.11-2.13

Spin magnetization = 0.00 μB per formula unit
Final energy = -28.744 eV/cell
Energy above the lowest structure with this stoichiometry = 391.1 meV/atom
Formation energy from raw total energies = 0.58 eV/atom
SG = No. 2


(3)
VASP calculation (PBE-GGA) on a geometry-optimized LiTbPmTm structure.

Unit cell a=5.4977 b=5.4977 c=5.4977 alpha=60.00 beta=60.00 gamma=60.00
With the nearest neighbours (Å) after each atom.
Positions (direct):
1 Pm 0.2500 0.2500 0.2500  4 Li 3.37, 4 Tm 3.37
2 Tb 0.7500 0.7500 0.7500  4 Tm 3.37, 4 Li 3.37
3 Tm 0.5000 0.5000 0.5000  4 Pm 3.37, 4 Tb 3.37
4 Li 0.0000 0.0000 0.0000  4 Tb 3.37, 4 Pm 3.37

Spin magnetization = 0.00 μB per formula unit
Final energy = -15.133 eV/cell
ΔE_f = 0.16 eV per atom
SG = No. 216